Material: LiCeZn2Ga4
Method: DFT, PBE
State: relaxed

Computed properties:
Its total magnetization is 0.35 μB/f.u. For the energy relative to the elements, the calculation gives -0.2759 eV/atom. The energy comes out at -3.0888 eV/atom.

Cell: 8.789 8.789 8.789 Å, 29.33 29.33 29.33°
Positions (direct):
Li 0.000 0.000 0.000
Ce 0.500 0.500 0.500
Zn 0.256 0.256 0.256
Zn 0.744 0.744 0.744
Ga 0.105 0.105 0.105
Ga 0.369 0.369 0.369
Ga 0.631 0.631 0.631
Ga 0.895 0.895 0.895